No. 1
Here is a relaxed PmHo2Lu crystal from Alexandria. Energies are from PBE-GGA.

For the energy above the most stable polymorph in this dataset, the calculation gives 1 meV per atom.

a = 3.544 Å, b = 3.544 Å, c = 11.704 Å
α = 81.29°, β = 81.29°, γ = 60.00°
Fractional coordinates of all 4 atoms:
Ho (0.752, 0.752, 0.745)
Pm (0.000, 0.000, 0.000)
Ho (0.248, 0.248, 0.255)
Lu (0.500, 0.500, 0.500)



No. 2
Here is a relaxed PmHo2Lu crystal from Alexandria. Energies are from PBE-GGA.

For the energy above the most stable polymorph in this dataset, the calculation gives 0 meV per atom.

a = 5.028 Å, b = 4.992 Å, c = 4.992 Å
α = 90.00°, β = 90.00°, γ = 90.00°
Fractional coordinates of all 4 atoms:
Ho (0.000, 0.500, 0.000)
Ho (0.000, 0.000, 0.500)
Lu (0.500, 0.000, 0.000)
Pm (0.500, 0.500, 0.500)



No. 3
Here is a relaxed PmHoLu crystal from Alexandria. Energies are from PBE-GGA.

For the energy above the most stable polymorph in this dataset, the calculation gives 51 meV per atom.

a = 3.467 Å, b = 5.593 Å, c = 5.593 Å
α = 120.00°, β = 90.00°, γ = 90.00°
Fractional coordinates of all 3 atoms:
Lu (0.166, 0.000, 0.000)
Ho (0.667, 0.333, 0.667)
Pm (0.167, 0.667, 0.333)



No. 4
Here is a relaxed PmHo2Lu crystal from Alexandria. Energies are from PBE-GGA.

For the energy above the most stable polymorph in this dataset, the calculation gives 120 meV per atom.

a = 5.644 Å, b = 5.644 Å, c = 5.644 Å
α = 60.00°, β = 60.00°, γ = 60.00°
Fractional coordinates of all 4 atoms:
Ho (0.250, 0.250, 0.250)
Pm (0.000, 0.000, 0.000)
Ho (0.750, 0.750, 0.750)
Lu (0.500, 0.500, 0.500)



No. 5
Here is a relaxed PmHo2Lu crystal from Alexandria. Energies are from PBE-GGA.

For the energy above the most stable polymorph in this dataset, the calculation gives 2 meV per atom.

a = 3.535 Å, b = 3.535 Å, c = 10.044 Å
α = 90.00°, β = 90.00°, γ = 90.00°
Fractional coordinates of all 4 atoms:
Ho (0.000, 0.000, 0.244)
Pm (0.500, 0.500, 0.500)
Ho (0.000, 0.000, 0.756)
Lu (0.500, 0.500, 0.000)



No. 6
Here is a relaxed PmHoLu4 crystal from Alexandria. Energies are from PBE-GGA.

a = 6.511 Å, b = 6.511 Å, c = 6.511 Å
α = 60.00°, β = 60.00°, γ = 60.00°
Last column: magnetic moment on the atom in μB.
Fractional coordinates of all 6 atoms:
Lu (0.625, 0.625, 0.625)  0.12
Pm (0.250, 0.250, 0.250)  0.49
Lu (0.124, 0.625, 0.625)  0.12
Lu (0.625, 0.124, 0.625)  0.12
Ho (0.000, 0.000, 0.000)  -0.01
Lu (0.625, 0.625, 0.124)  0.12



No. 7
Here is a relaxed PmHoLu crystal from Alexandria. Energies are from PBE-GGA.

For the energy above the most stable polymorph in this dataset, the calculation gives 0 meV per atom.

a = 3.544 Å, b = 3.544 Å, c = 7.937 Å
α = 102.90°, β = 102.90°, γ = 90.00°
Fractional coordinates of all 3 atoms:
Ho (0.002, 0.002, 0.005)
Lu (0.665, 0.665, 0.330)
Pm (0.333, 0.333, 0.665)



No. 8
Here is a relaxed PmHoLuSc crystal from Alexandria. Energies are from PBE-GGA.

a = 5.526 Å, b = 5.526 Å, c = 5.526 Å
α = 60.00°, β = 60.00°, γ = 60.00°
Fractional coordinates of all 4 atoms:
Lu (0.500, 0.500, 0.500)
Pm (0.750, 0.750, 0.750)
Ho (0.250, 0.250, 0.250)
Sc (0.000, 0.000, 0.000)



No. 9
Here is a relaxed PmSmHoLu crystal from Alexandria. Energies are from PBE-GGA.

a = 5.680 Å, b = 5.680 Å, c = 5.680 Å
α = 60.00°, β = 60.00°, γ = 60.00°
Fractional coordinates of all 4 atoms:
Lu (0.500, 0.500, 0.500)
Ho (0.000, 0.000, 0.000)
Sm (0.250, 0.250, 0.250)
Pm (0.750, 0.750, 0.750)



No. 10
Here is a relaxed TbPmHoLu crystal from Alexandria. Energies are from PBE-GGA.

a = 5.655 Å, b = 5.655 Å, c = 5.655 Å
α = 60.00°, β = 60.00°, γ = 60.00°
Fractional coordinates of all 4 atoms:
Lu (0.250, 0.250, 0.250)
Tb (0.500, 0.500, 0.500)
Ho (0.750, 0.750, 0.750)
Pm (0.000, 0.000, 0.000)



No. 11
Here is a relaxed PmHoLuTh crystal from Alexandria. Energies are from PBE-GGA.

a = 5.662 Å, b = 5.662 Å, c = 5.662 Å
α = 60.00°, β = 60.00°, γ = 60.00°
Fractional coordinates of all 4 atoms:
Lu (0.250, 0.250, 0.250)
Ho (0.500, 0.500, 0.500)
Pm (0.000, 0.000, 0.000)
Th (0.750, 0.750, 0.750)



No. 12
Here is a relaxed PmHoLuTl crystal from Alexandria. Energies are from PBE-GGA.

a = 5.474 Å, b = 5.474 Å, c = 5.474 Å
α = 60.00°, β = 60.00°, γ = 60.00°
Last column: magnetic moment on the atom in μB.
Fractional coordinates of all 4 atoms:
Tl (0.000, 0.000, 0.000)  0.00
Lu (0.500, 0.500, 0.500)  0.22
Ho (0.250, 0.250, 0.250)  0.24
Pm (0.750, 0.750, 0.750)  0.16



No. 13
Here is a relaxed PmHoLuZn crystal from Alexandria. Energies are from PBE-GGA.

a = 5.331 Å, b = 5.331 Å, c = 5.331 Å
α = 60.00°, β = 60.00°, γ = 60.00°
Fractional coordinates of all 4 atoms:
Pm (0.750, 0.750, 0.750)
Zn (0.500, 0.500, 0.500)
Ho (0.250, 0.250, 0.250)
Lu (0.000, 0.000, 0.000)



No. 14
Here is a relaxed PmHoLuZr crystal from Alexandria. Energies are from PBE-GGA.

a = 5.476 Å, b = 5.476 Å, c = 5.476 Å
α = 60.00°, β = 60.00°, γ = 60.00°
Last column: magnetic moment on the atom in μB.
Fractional coordinates of all 4 atoms:
Ho (0.000, 0.000, 0.000)  0.20
Zr (0.250, 0.250, 0.250)  0.58
Lu (0.500, 0.500, 0.500)  0.13
Pm (0.750, 0.750, 0.750)  0.00



No. 15
Here is a relaxed Pr2HoLu crystal from Alexandria. Energies are from PBE-GGA.

For the energy above the most stable polymorph in this dataset, the calculation gives 2 meV per atom.

a = 4.991 Å, b = 5.141 Å, c = 5.141 Å
α = 90.00°, β = 90.00°, γ = 90.00°
Fractional coordinates of all 4 atoms:
Ho (0.500, 0.500, 0.500)
Lu (0.500, 0.000, 0.000)
Pr (0.000, 0.000, 0.500)
Pr (0.000, 0.500, 0.000)



No. 16
Here is a relaxed Pr2HoLu crystal from Alexandria. Energies are from PBE-GGA.

For the energy above the most stable polymorph in this dataset, the calculation gives 71 meV per atom.

a = 5.737 Å, b = 5.737 Å, c = 5.737 Å
α = 60.00°, β = 60.00°, γ = 60.00°
Fractional coordinates of all 4 atoms:
Pr (0.250, 0.250, 0.250)
Pr (0.750, 0.750, 0.750)
Lu (0.500, 0.500, 0.500)
Ho (0.000, 0.000, 0.000)



No. 17
Here is a relaxed PrHoLu2 crystal from Alexandria. Energies are from PBE-GGA.

For the energy above the most stable polymorph in this dataset, the calculation gives 60 meV per atom.

a = 4.046 Å, b = 4.046 Å, c = 7.760 Å
α = 90.00°, β = 90.00°, γ = 90.00°
Fractional coordinates of all 4 atoms:
Lu (0.000, 0.000, 0.760)
Lu (0.000, 0.000, 0.240)
Pr (0.500, 0.500, 0.500)
Ho (0.500, 0.500, 0.000)



No. 18
Here is a relaxed PrHoLu2 crystal from Alexandria. Energies are from PBE-GGA.

For the energy above the most stable polymorph in this dataset, the calculation gives 62 meV per atom.

a = 5.638 Å, b = 5.638 Å, c = 5.638 Å
α = 60.00°, β = 60.00°, γ = 60.00°
Fractional coordinates of all 4 atoms:
Lu (0.750, 0.750, 0.750)
Lu (0.250, 0.250, 0.250)
Ho (0.000, 0.000, 0.000)
Pr (0.500, 0.500, 0.500)



No. 19
Here is a relaxed PrHoLu2 crystal from Alexandria. Energies are from PBE-GGA.

For the energy above the most stable polymorph in this dataset, the calculation gives 0 meV per atom.

a = 4.958 Å, b = 5.029 Å, c = 5.029 Å
α = 90.00°, β = 90.00°, γ = 90.00°
Fractional coordinates of all 4 atoms:
Lu (0.000, 0.000, 0.500)
Lu (0.000, 0.500, 0.000)
Pr (0.500, 0.500, 0.500)
Ho (0.500, 0.000, 0.000)



No. 20
Here is a relaxed Pr2HoLu crystal from Alexandria. Energies are from PBE-GGA.

For the energy above the most stable polymorph in this dataset, the calculation gives 5 meV per atom.

a = 3.639 Å, b = 3.639 Å, c = 9.983 Å
α = 90.00°, β = 90.00°, γ = 90.00°
Fractional coordinates of all 4 atoms:
Lu (0.500, 0.500, 0.000)
Ho (0.500, 0.500, 0.500)
Pr (0.000, 0.000, 0.247)
Pr (0.000, 0.000, 0.753)



No. 21
Here is a relaxed Pr2HoLu crystal from Alexandria. Energies are from PBE-GGA.

For the energy above the most stable polymorph in this dataset, the calculation gives 0 meV per atom.

a = 3.613 Å, b = 3.613 Å, c = 11.809 Å
α = 81.20°, β = 81.20°, γ = 60.00°
Fractional coordinates of all 4 atoms:
Pr (0.249, 0.249, 0.252)
Pr (0.751, 0.751, 0.748)
Lu (0.500, 0.500, 0.500)
Ho (0.000, 0.000, 0.000)



No. 22
Here is a relaxed PrSmHoLu crystal from Alexandria. Energies are from PBE-GGA.

a = 5.704 Å, b = 5.704 Å, c = 5.704 Å
α = 60.00°, β = 60.00°, γ = 60.00°
Fractional coordinates of all 4 atoms:
Sm (0.750, 0.750, 0.750)
Pr (0.250, 0.250, 0.250)
Ho (0.000, 0.000, 0.000)
Lu (0.500, 0.500, 0.500)



No. 23
Here is a relaxed PrHoLuSn crystal from Alexandria. Energies are from PBE-GGA.

a = 5.446 Å, b = 5.446 Å, c = 5.446 Å
α = 60.00°, β = 60.00°, γ = 60.00°
Fractional coordinates of all 4 atoms:
Pr (0.500, 0.500, 0.500)
Ho (0.000, 0.000, 0.000)
Lu (0.750, 0.750, 0.750)
Sn (0.250, 0.250, 0.250)



No. 24
Here is a relaxed PrHoLuTh crystal from Alexandria. Energies are from PBE-GGA.

a = 5.678 Å, b = 5.678 Å, c = 5.678 Å
α = 60.00°, β = 60.00°, γ = 60.00°
Fractional coordinates of all 4 atoms:
Pr (0.250, 0.250, 0.250)
Lu (0.500, 0.500, 0.500)
Th (0.750, 0.750, 0.750)
Ho (0.000, 0.000, 0.000)



No. 25
Here is a relaxed PrHoLuTl crystal from Alexandria. Energies are from PBE-GGA.

a = 5.506 Å, b = 5.506 Å, c = 5.506 Å
α = 60.00°, β = 60.00°, γ = 60.00°
Last column: magnetic moment on the atom in μB.
Fractional coordinates of all 4 atoms:
Pr (0.750, 0.750, 0.750)  0.13
Tl (0.000, 0.000, 0.000)  0.00
Ho (0.250, 0.250, 0.250)  0.21
Lu (0.500, 0.500, 0.500)  0.20



No. 26
Here is a relaxed PrYHoLu crystal from Alexandria. Energies are from PBE-GGA.

a = 5.687 Å, b = 5.687 Å, c = 5.687 Å
α = 60.00°, β = 60.00°, γ = 60.00°
Fractional coordinates of all 4 atoms:
Pr (0.750, 0.750, 0.750)
Y (0.250, 0.250, 0.250)
Ho (0.500, 0.500, 0.500)
Lu (0.000, 0.000, 0.000)



No. 27
Here is a relaxed PrHoLuZn crystal from Alexandria. Energies are from PBE-GGA.

a = 5.365 Å, b = 5.365 Å, c = 5.365 Å
α = 60.00°, β = 60.00°, γ = 60.00°
Fractional coordinates of all 4 atoms:
Lu (0.500, 0.500, 0.500)
Zn (0.000, 0.000, 0.000)
Pr (0.750, 0.750, 0.750)
Ho (0.250, 0.250, 0.250)



No. 28
Here is a relaxed PrHoLuZr crystal from Alexandria. Energies are from PBE-GGA.

a = 5.496 Å, b = 5.496 Å, c = 5.496 Å
α = 60.00°, β = 60.00°, γ = 60.00°
Last column: magnetic moment on the atom in μB.
Fractional coordinates of all 4 atoms:
Ho (0.000, 0.000, 0.000)  0.14
Zr (0.250, 0.250, 0.250)  0.46
Lu (0.500, 0.500, 0.500)  0.09
Pr (0.750, 0.750, 0.750)  -0.03



No. 29
Here is a relaxed HoLuPt2 crystal from Alexandria. Energies are from PBE-GGA.

For the energy above the most stable polymorph in this dataset, the calculation gives 0 meV per atom.

a = 4.882 Å, b = 4.882 Å, c = 4.882 Å
α = 60.00°, β = 60.00°, γ = 60.00°
Fractional coordinates of all 4 atoms:
Pt (0.250, 0.250, 0.250)
Pt (0.750, 0.750, 0.750)
Lu (0.500, 0.500, 0.500)
Ho (0.000, 0.000, 0.000)



No. 30
Here is a relaxed HoLuPt2 crystal from Alexandria. Energies are from PBE-GGA.

For the energy above the most stable polymorph in this dataset, the calculation gives 3 meV per atom.

a = 3.431 Å, b = 4.894 Å, c = 4.894 Å
α = 90.00°, β = 90.00°, γ = 90.00°
Fractional coordinates of all 4 atoms:
Pt (0.000, 0.500, 0.000)
Ho (0.500, 0.500, 0.500)
Lu (0.500, 0.000, 0.000)
Pt (0.000, 0.000, 0.500)



No. 31
Here is a relaxed HoLuPt2 crystal from Alexandria. Energies are from PBE-GGA.

For the energy above the most stable polymorph in this dataset, the calculation gives 126 meV per atom.

a = 4.022 Å, b = 4.022 Å, c = 6.962 Å
α = 73.21°, β = 73.21°, γ = 60.00°
Fractional coordinates of all 4 atoms:
Lu (0.500, 0.500, 0.500)
Pt (0.752, 0.752, 0.744)
Pt (0.248, 0.248, 0.256)
Ho (0.000, 0.000, 0.000)



| no. | formation energy (eV per atom) |
| --- | --- |
| 1 | 0.026 |
| 2 | 0.025 |
| 3 | 0.079 |
| 4 | 0.145 |
| 5 | 0.028 |
| 6 | 0.286 |
| 7 | 0.028 |
| 8 | 0.097 |
| 9 | 0.107 |
| 10 | 0.115 |
| 11 | 0.194 |
| 12 | -0.050 |
| 13 | 0.017 |
| 14 | 0.209 |
| 15 | 0.021 |
| 16 | 0.091 |
| 17 | 0.093 |
| 18 | 0.095 |
| 19 | 0.033 |
| 20 | 0.024 |
| 21 | 0.020 |
| 22 | 0.100 |
| 23 | -0.238 |
| 24 | 0.119 |
| 25 | -0.052 |
| 26 | 0.110 |
| 27 | 0.020 |
| 28 | 0.210 |
| 29 | -1.278 |
| 30 | -1.275 |
| 31 | -1.152 |